[1]
Computed, not measured: crystalline LaEuMgPd at its relaxed geometry at the PBE level of DFT.

Output
The formation energy comes out at -327 meV per atom. The calculation puts the volume at 27.31 A^3/atom. The symmetry is F-43m (216). As for the crystal system: cubic.

Cell lengths 5.3657, 5.3657, 5.3657 Å; angles 60.00, 60.00, 60.00 degrees
Closest atoms and distances in Å follow each position.
Atoms (fractional coordinates):
Eu  0.0000  0.0000  0.0000  4 Mg 3.29, 4 Pd 3.29
Mg  0.7500  0.7500  0.7500  4 La 3.29, 4 Eu 3.29
Pd  0.2500  0.2500  0.2500  4 La 3.29, 4 Eu 3.29
La  0.5000  0.5000  0.5000  4 Mg 3.29, 4 Pd 3.29

[2]
Computed, not measured: crystalline La2TcGeC at its relaxed geometry at the PBE level of DFT.

Output
The formation energy comes out at -271 meV per atom. The calculation puts the volume at 22.25 A^3/atom. The symmetry is P4/mmm (123). As for the crystal system: tetragonal. Its polymorph energy (0 for the lowest one) is 0 meV/atom.

Cell lengths 5.2597, 5.2597, 4.0220 Å; angles 90.00, 90.00, 90.00 degrees
Closest atoms and distances in Å follow each position.
Atoms (fractional coordinates):
C  0.0000  0.0000  0.0000  2 Tc 2.01
Ge  0.5000  0.5000  0.5000  8 La 3.31
Tc  0.0000  0.0000  0.5000  2 C 2.01
La  0.0000  0.5000  0.0000  2 C 2.63
La  0.5000  0.0000  0.0000  2 C 2.63

[3]
Computed, not measured: crystalline ThSc5Zn6 at its relaxed geometry at the PBE level of DFT.

Output
The formation energy comes out at -310 meV per atom. The calculation puts the volume at 19.90 A^3/atom. The symmetry is Immm (71). As for the crystal system: orthorhombic.

Cell lengths 4.8086, 6.8755, 8.3541 Å; angles 114.30, 106.73, 90.00 degrees
Closest atoms and distances in Å follow each position.
Atoms (fractional coordinates):
Sc  0.3377  0.8377  0.6755  8 Zn 2.86-3.03
Sc  0.6697  0.6697  0.3394  8 Zn 2.88-2.91
Sc  0.0000  0.5000  0.0000  8 Zn 2.84-2.98
Sc  0.3303  0.3303  0.6606  8 Zn 2.88-2.91
Sc  0.6623  0.1623  0.3245  8 Zn 2.86-3.03
Zn  0.1737  0.4406  0.3473  7 Sc 2.86-3.03, 1 Th 3.11
Zn  0.1736  0.9068  0.3473  7 Sc 2.86-3.03, 1 Th 3.11
Zn  0.5000  0.2790  0.0000  6 Sc 2.84-3.03, 1 Zn 3.04, 2 Th 3.08
Zn  0.5000  0.7210  0.0000  6 Sc 2.84-3.03, 1 Zn 3.04, 2 Th 3.08
Zn  0.8264  0.0932  0.6527  7 Sc 2.86-3.03, 1 Th 3.11
Zn  0.8263  0.5594  0.6527  7 Sc 2.86-3.03, 1 Th 3.11
Th  0.0000  0.0000  0.0000  8 Zn 3.08-3.11, 6 Sc 3.36-3.44

[4]
Computed, not measured: crystalline AlHg at its relaxed geometry at the PBE level of DFT.

Output
The formation energy comes out at 201 meV per atom. The calculation puts the volume at 22.39 A^3/atom. The symmetry is Fm-3m (225). As for the crystal system: cubic.

Cell lengths 3.9858, 3.9858, 3.9858 Å; angles 60.00, 60.00, 60.00 degrees
Closest atoms and distances in Å follow each position.
Atoms (fractional coordinates):
Hg  0.5000  0.5000  0.5000  6 Al 2.82
Al  0.0000  0.0000  0.0000  6 Hg 2.82

[5]
Computed, not measured: crystalline Al4Se at its relaxed geometry at the PBE level of DFT.

Output
The calculation puts the volume at 22.77 A^3/atom. The symmetry is Im-3m (229). As for the crystal system: cubic. Its polymorph energy (0 for the lowest one) is 322 meV/atom. For the uncorrected formation energy, the calculation gives 216 kJ/mol of formula units.

Cell lengths 5.2880, 5.2880, 5.2880 Å; angles 109.47, 109.47, 109.47 degrees
Closest atoms and distances in Å follow each position.
Atoms (fractional coordinates):
Al  0.5000  0.0000  0.0000  2 Se 2.64
Al  0.5000  0.5000  0.5000  2 Se 2.64
Al  0.0000  0.5000  0.0000  2 Se 2.64
Al  0.0000  0.0000  0.5000  2 Se 2.64
Se  0.0000  0.0000  0.0000  8 Al 2.64

[6]
Computed, not measured: crystalline SnGe2Pd at its relaxed geometry at the PBE level of DFT.

Output
The formation energy comes out at -5 meV per atom. The calculation puts the volume at 21.77 A^3/atom. The symmetry is I-42d (122). As for the crystal system: tetragonal.

Cell lengths 4.5451, 4.5451, 9.0216 Å; angles 75.41, 75.41, 90.00 degrees
Closest atoms and distances in Å follow each position.
Atoms (fractional coordinates):
Ge  0.5406  0.1250  0.2500  2 Pd 2.51, 2 Ge 2.73
Ge  0.2094  0.6250  0.2500  2 Pd 2.51, 2 Ge 2.73
Ge  0.3750  0.4594  0.7500  2 Pd 2.51, 2 Ge 2.73
Ge  0.8750  0.7906  0.7500  2 Pd 2.51, 2 Ge 2.73
Sn  0.0000  0.0000  0.0000  4 Ge 2.84
Sn  0.7500  0.2500  0.5000  4 Ge 2.84
Pd  0.5000  0.5000  0.0000  4 Ge 2.51
Pd  0.2500  0.7500  0.5000  4 Ge 2.51

[7]
Computed, not measured: crystalline CsMnSeBr2 at its relaxed geometry at the PBE level of DFT.

Output
The calculation puts the volume at 59.14 A^3/atom. The symmetry is P4/mmm (123). As for the crystal system: tetragonal. Its polymorph energy (0 for the lowest one) is 1384 meV/atom. For the uncorrected formation energy, the calculation gives 247 kJ/mol of formula units.

Cell lengths 6.7217, 6.7217, 6.5451 Å; angles 90.00, 90.00, 90.00 degrees
Closest atoms and distances in Å follow each position.
Atoms (fractional coordinates):
Cs  0.0000  0.0000  0.0000  2 Se 3.27, 4 Br 3.36
Mn  0.5000  0.5000  0.5000  8 Br 4.69, 4 Se 4.75
Se  0.0000  0.0000  0.5000  2 Cs 3.27
Br  0.0000  0.5000  0.0000  2 Cs 3.36
Br  0.5000  0.0000  0.0000  2 Cs 3.36

[8]
Computed, not measured: crystalline Mg2InGa4 at its relaxed geometry at the PBE level of DFT.

Output
The formation energy comes out at 74 meV per atom. The calculation puts the volume at 22.54 A^3/atom. The symmetry is I4/mmm (139). As for the crystal system: tetragonal. Its polymorph energy (0 for the lowest one) is 127 meV/atom.

Cell lengths 5.5423, 5.5423, 6.4617 Å; angles 115.39, 115.39, 90.00 degrees
Closest atoms and distances in Å follow each position.
Atoms (fractional coordinates):
Mg  0.6510  0.6510  0.3020  8 Ga 2.95-3.18, 1 Mg 3.10
Mg  0.3490  0.3490  0.6980  8 Ga 2.95-3.18, 1 Mg 3.10
In  0.0000  0.0000  0.0000  4 Ga 2.77
Ga  0.7500  0.2500  0.5000  2 Ga 2.57
Ga  0.2500  0.7500  0.5000  2 Ga 2.57
Ga  0.5000  0.0000  0.0000  2 Ga 2.57, 2 In 2.77
Ga  0.0000  0.5000  0.0000  2 Ga 2.57, 2 In 2.77

no.,total magnetic moment (μB/cell),final energy (eV per atom)
1,7.1,-5.8241
2,0.0,-7.0830
3,0.0,-4.2037
4,0.0,-1.8209
5,0.0,-3.2428
6,0.0,-4.6126
7,8.1,-2.8581
8,0.0,-2.5020